[1]
Ca2ScP (PBE-GGA, relaxed); N(E_F) = 2.8 states/eV per cell; energy = -16.7 eV/cell; density = 2.677 Mg/m³; energy relative to the elements = -88 kJ/mol of formula units
1.0
-2.136 2.136 5.306
2.136 -2.136 5.306
2.136 2.136 -5.306
Ca Sc P
2 1 1
Cartesian
2.136 0.000 2.653
0.000 2.136 2.653
0.000 0.000 0.000
0.000 0.000 5.306

---

[2]
YSi2W (PBE-GGA, relaxed); N(E_F) = 2.6 states/eV per cell; energy = -29.8 eV/cell; density = 7.884 Mg/m³; raw formation energy = 0.10 eV per atom
1.0
5.031 -1.475 0.000
5.031 1.475 0.000
-1.347 0.000 4.667
Y Si W
1 2 1
Cartesian
0.000 0.000 0.000
1.258 0.000 3.739
4.637 0.000 2.384
7.449 0.000 1.800

---

[3]
AlSnBiBr2 (PBE-GGA, relaxed); N(E_F) = 3.7 states/eV per cell; energy = -13.7 eV/cell; density = 5.034 Mg/m³; raw formation energy = 0.25 eV per atom
1.0
5.503 0.000 0.000
0.000 5.503 0.000
0.000 0.000 5.605
Al Sn Bi Br
1 1 1 2
Cartesian
0.000 0.000 0.000
0.000 0.000 2.802
2.752 2.752 0.000
0.000 2.752 2.802
2.752 0.000 2.802

---

[4]
Ni2Sn2Hg (PBE-GGA, relaxed); N(E_F) = 7.5 states/eV per cell; energy = -39.6 eV/cell; density = 10.126 Mg/m³; energy relative to the elements = 5 kJ/mol of formula units
1.0
7.096 0.000 0.000
0.000 7.096 0.000
0.000 0.000 3.617
Ni Sn Hg
4 4 2
Cartesian
0.940 2.609 0.000
2.609 6.157 0.000
4.488 0.940 0.000
6.157 4.488 0.000
1.137 4.686 1.809
2.411 1.137 1.809
4.686 5.959 1.809
5.959 2.411 1.809
0.000 0.000 0.000
3.548 3.548 0.000

---

[5]
Ba3LiBi2O9 (PBE-GGA, relaxed); N(E_F) = 9.7 states/eV per cell; energy = -85.7 eV/cell; density = 6.885 Mg/m³; raw formation energy = -1.71 eV per atom
1.0
6.037 0.000 0.000
-3.019 5.228 0.000
0.000 0.000 7.495
Ba Li Bi O
3 1 2 9
Cartesian
0.000 0.000 0.000
0.000 3.486 4.888
3.019 1.743 2.607
0.000 0.000 3.748
0.000 3.486 1.311
3.019 1.743 6.184
-1.509 2.614 0.000
0.000 1.747 2.470
-1.506 4.355 2.470
1.513 0.874 5.025
3.019 0.000 0.000
1.509 2.614 0.000
1.506 4.355 2.470
4.524 0.874 5.025
3.019 3.481 5.025

---

[6]
AcLa8Ho2 (PBE-GGA, relaxed); N(E_F) = 17.8 states/eV per cell; energy = -51.5 eV/cell; density = 6.801 Mg/m³; energy relative to the elements = 111 kJ/mol of formula units
1.0
-2.852 4.340 8.225
2.852 -4.340 8.225
2.852 4.340 -8.225
Ac La Ho
1 8 2
Cartesian
0.000 0.000 0.000
2.852 -1.727 5.841
2.852 0.000 2.606
2.852 2.585 0.000
0.000 2.613 2.384
2.852 1.727 5.841
0.000 1.755 8.225
0.000 4.340 5.620
0.000 6.067 2.384
0.000 0.000 4.902
0.000 0.000 11.549

---

[7]
TlPd2O (PBE-GGA, relaxed); N(E_F) = 1.8 states/eV per cell; energy = -36.9 eV/cell; density = 8.493 Mg/m³; raw formation energy = -0.19 eV per atom
1.0
-2.623 2.623 6.154
2.623 -2.623 6.154
2.623 2.623 -6.154
Tl Pd O
2 4 2
Cartesian
0.000 0.000 0.000
0.000 2.623 3.077
1.312 -0.008 4.616
2.616 1.312 1.539
1.312 2.631 -1.539
0.008 1.312 7.693
2.623 0.000 3.077
0.000 0.000 6.154

---

[8]
NaMn5S8 (PBE-GGA, relaxed); N(E_F) = 7.7 states/eV per cell; energy = -88.9 eV/cell; density = 3.916 Mg/m³; raw formation energy = -0.63 eV per atom
1.0
8.800 -1.684 0.000
8.800 1.684 0.000
-2.233 0.000 7.927
Na Mn S
1 5 8
Cartesian
0.000 0.000 0.000
1.679 0.000 3.808
1.766 0.000 6.625
7.703 0.000 3.962
13.639 0.000 1.298
13.726 0.000 4.115
-0.164 0.000 5.260
3.849 0.000 2.709
5.843 0.000 0.056
5.871 0.000 5.450
9.534 0.000 2.473
9.563 0.000 7.866
11.556 0.000 5.213
15.569 0.000 2.663